Entry 1:
The following is a DFT calculation (PBE) of an optimized crystal structure of SrZrPb.

Computed properties:
The mass density is 7.09 g/cm³. As for the space-group type: P3m1 (156). The calculation puts the formation enthalpy at 0 K at 0.143 eV per atom. The value obtained for the density of states at the Fermi level is 0.7329 states/eV per atom.

Lattice parameters (Å, degrees): 3.5407 3.5407 8.3257 90.00 90.00 120.00
Positions (direct):
Pb1 0.0000 0.0000 0.9829
Sr1 0.3333 0.6667 0.3315
Zr1 0.6667 0.3333 0.6855

---

Entry 2:
The following is a DFT calculation (PBE) of an optimized crystal structure of Sr2ZrPb.

Computed properties:
The mass density is 5.33 g/cm³. As for the space-group type: P4mm (99). The calculation puts the formation enthalpy at 0 K at 0.018 eV per atom. The value obtained for the density of states at the Fermi level is 0.5603 states/eV per atom.

Lattice parameters (Å, degrees): 4.0296 4.0296 9.0902 90.00 90.00 90.00
Site moments in Bohr magnetons follow the coordinates.
Positions (direct):
Sr1 0.5000 0.5000 0.3049  0.10
Sr2 0.0000 0.0000 0.9387  0.04
Zr1 0.0000 0.0000 0.5663  0.82
Pb1 0.5000 0.5000 0.6902  -0.01